Entry 1:
A plane-wave DFT calculation with GGA-PBE was carried out for crystalline SbTe2C at its relaxed geometry.

Lattice parameters (Å, degrees): 7.487 7.487 7.487 29.88 29.88 29.88
Sites, in units of the cell vectors:
Te (0.232, 0.232, 0.232)
Te (0.768, 0.768, 0.768)
Sb (0.000, 0.000, 0.000)
C (0.500, 0.500, 0.500)

ΔE to the lowest computed polymorph (eV per atom): 0.070
Volume (Å³/atom): 23.1
Space-group type: R-3m (166)

***

Entry 2:
A plane-wave DFT calculation with GGA-PBE was carried out for crystalline Li3Tb2TmS6 at its relaxed geometry.

Lattice parameters (Å, degrees): 6.771 6.771 6.571 99.88 99.88 120.00
Sites, in units of the cell vectors:
S (0.588, 0.917, 0.750)
S (0.246, 0.246, 0.750)
S (0.754, 0.754, 0.250)
S (0.412, 0.083, 0.250)
S (0.917, 0.588, 0.750)
S (0.083, 0.412, 0.250)
Li (0.835, 0.165, 0.500)
Li (0.165, 0.835, 0.500)
Li (0.500, 0.500, 0.500)
Tb (0.333, 0.667, 0.000)
Tb (0.667, 0.333, 0.000)
Tm (0.000, 0.000, 0.000)

Volume (Å³/atom): 20.4
Space-group type: C2/m (12)

***

Entry 3:
A plane-wave DFT calculation with GGA-PBE was carried out for crystalline Cd2CuCl at its relaxed geometry.

Lattice parameters (Å, degrees): 5.211 5.211 3.020 90.00 90.00 90.00
Sites, in units of the cell vectors:
Cd (0.000, 0.000, 0.000)
Cd (0.500, 0.500, 0.000)
Cu (0.000, 0.500, 0.500)
Cl (0.500, 0.000, 0.500)

ΔE to the lowest computed polymorph (eV per atom): 0.196
Volume (Å³/atom): 20.5
Space-group type: P4/mmm (123)

***

We obtain E_form (uncorrected) values of 1092, -1849, 8 meV/atom for the records listed above, in that order.